A plane-wave DFT calculation with GGA-PBE was carried out for a relaxed structure of Pm3Pr4Th2.

abc: 3.6260 3.6260 27.6215
angles: 90.00 90.00 120.00
With the nearest neighbours (Å) after each atom.
Space group P3m1 (No. 156)
Inequivalent atoms, fractional coordinates:
Pm (0.0000, 0.0000, 0.0000) [1 per cell]  6 Pm 3.63, 6 Th 3.63-3.65
Pm (0.0000, 0.0000, 0.3386) [1 per cell]  6 Pm 3.63, 6 Pr 3.64-3.72
Pm (0.6667, 0.3333, 0.6719) [1 per cell]  6 Pm 3.63, 6 Pr 3.68-3.73
Pr (0.0000, 0.0000, 0.5624) [1 per cell]  9 Pr 3.63-3.75, 3 Pm 3.68
Pr (0.0000, 0.0000, 0.7836) [1 per cell]  6 Pr 3.63, 3 Th 3.65, 3 Pm 3.73
Pr (0.6667, 0.3333, 0.2309) [1 per cell]  1 Th 3.41, 6 Pr 3.63, 3 Pm 3.64
Pr (0.6667, 0.3333, 0.4499) [1 per cell]  9 Pr 3.63-3.75, 3 Pm 3.72
Th (0.6667, 0.3333, 0.1074) [1 per cell]  1 Pr 3.41, 6 Th 3.63, 3 Pm 3.63
Th (0.6667, 0.3333, 0.8920) [1 per cell]  6 Th 3.63, 3 Pm 3.65, 3 Pr 3.65

Properties
total magnetic moment = 0.0 μB/cell
ΔE_f = 93 meV/atom

---

A plane-wave DFT calculation with GGA-PBE was carried out for a relaxed structure of AcLa7Nd4.

abc: 6.4920 7.4662 9.8680
angles: 79.37 70.98 89.92
With the nearest neighbours (Å) after each atom.
Space group P-1 (No. 2)
Inequivalent atoms, fractional coordinates:
Ac (0.0000, 0.0000, 0.0000) [1 per cell]  10 La 3.73-3.77, 2 Nd 3.75
La (0.0000, 0.5000, 0.0000) [1 per cell]  6 La 3.73-3.74, 2 Ac 3.73, 4 Nd 3.74-3.75
La (0.0010, 0.3361, 0.6640) [2 per cell]  5 La 3.68-3.76, 6 Nd 3.69-3.76, 1 Ac 3.77
La (0.4971, 0.9152, 0.3362) [2 per cell]  5 La 3.69-3.78, 6 Nd 3.72-3.78, 1 Ac 3.77
La (0.4994, 0.7462, 0.0012) [2 per cell]  7 La 3.68-3.79, 3 Nd 3.72-3.76, 2 Ac 3.76
Nd (0.0019, 0.1677, 0.3352) [2 per cell]  8 La 3.69-3.78, 3 Nd 3.71-3.74, 1 Ac 3.75
Nd (0.4978, 0.5829, 0.6666) [2 per cell]  3 Nd 3.71-3.74, 9 La 3.72-3.74

Properties
total magnetic moment = 0.0 μB/cell
ΔE_f = 17 meV/atom

---

A plane-wave DFT calculation with GGA-PBE was carried out for a relaxed structure of HgMo2Os.

abc: 3.9112 3.9398 8.4473
angles: 90.00 90.00 90.00
With the nearest neighbours (Å) after each atom.
Space group Immm (No. 71)
Inequivalent atoms, fractional coordinates:
Hg (0.0000, 0.0000, 0.0000) [2 per cell]  4 Os 2.78, 8 Mo 2.88
Mo (0.0000, 0.5000, 0.2495) [4 per cell]  4 Mo 2.78, 4 Os 2.88-2.89, 4 Hg 2.88
Os (0.0000, 0.0000, 0.5000) [2 per cell]  4 Hg 2.78, 8 Mo 2.88-2.89

Properties
total magnetic moment = 0.0 μB/cell
ΔE_f = 566 meV/atom

---

A plane-wave DFT calculation with GGA-PBE was carried out for a relaxed structure of Ta2CuW.

abc: 2.7404 4.1569 5.8110
angles: 90.00 90.00 90.00
With the nearest neighbours (Å) after each atom.
Space group Pmm2 (No. 25)
Inequivalent atoms, fractional coordinates:
Ta (0.0000, 0.0000, 0.0000) [1 per cell]  6 Ta 2.74-2.95, 2 W 2.80-3.01, 4 Cu 2.84
Ta (0.5000, 0.5000, 0.2727) [1 per cell]  6 Ta 2.74-2.95, 2 Cu 2.85-2.96, 4 W 2.87
Cu (0.5000, 0.5000, 0.7634) [1 per cell]  2 Cu 2.74, 6 Ta 2.84-2.96, 4 W 2.87
W (0.0000, 0.0000, 0.5188) [1 per cell]  2 W 2.74, 6 Ta 2.80-3.01, 4 Cu 2.87

Properties
total magnetic moment = 0.0 μB/cell
ΔE_f = 308 meV/atom

---

A plane-wave DFT calculation with GGA-PBE was carried out for a relaxed structure of Ga3CI.

abc: 6.0755 6.0755 6.0755
angles: 90.00 90.00 90.00
With the nearest neighbours (Å) after each atom.
Space group Pm-3m (No. 221)
Inequivalent atoms, fractional coordinates:
Ga (0.0000, 0.0000, 0.5000) [3 per cell]  2 I 3.04
C (0.5000, 0.5000, 0.5000) [1 per cell]  12 Ga 4.30
I (0.0000, 0.0000, 0.0000) [1 per cell]  6 Ga 3.04

Properties
formation energy without anion corrections = 42.7 kcal/mol of atoms
total magnetic moment = 2.2 μB/cell

---

A plane-wave DFT calculation with GGA-PBE was carried out for a relaxed structure of ReNi3Mo.

abc: 4.3944 4.3944 4.3944
angles: 90.00 90.00 90.00
With the nearest neighbours (Å) after each atom.
Space group Pm-3m (No. 221)
Inequivalent atoms, fractional coordinates:
Re (0.0000, 0.0000, 0.0000) [1 per cell]  6 Ni 2.20
Ni (0.0000, 0.0000, 0.5000) [3 per cell]  2 Re 2.20
Mo (0.5000, 0.5000, 0.5000) [1 per cell]  12 Ni 3.11

Properties
total magnetic moment = 0.1 μB/cell
ΔE_f = 1657 meV/atom

---

A plane-wave DFT calculation with GGA-PBE was carried out for a relaxed structure of CePuRu2.

abc: 3.3455 13.8182 7.0565
angles: 90.00 90.00 90.00
With the nearest neighbours (Å) after each atom.
Space group Cmcm (No. 63)
Inequivalent atoms, fractional coordinates:
Ce (0.0000, 0.0223, 0.2500) [4 per cell]  8 Ru 2.90-2.96
Pu (0.0000, 0.2437, 0.7500) [4 per cell]  6 Ru 2.79-2.88
Ru (0.0000, 0.3848, 0.0327) [8 per cell]  3 Pu 2.79-2.88, 4 Ce 2.90-2.96, 1 Ru 3.07

Properties
total magnetic moment = 18.3 μB/cell
ΔE_f = -142 meV/atom

---

A plane-wave DFT calculation with GGA-PBE was carried out for a relaxed structure of V2CuRu2.

abc: 7.0628 7.0628 2.8617
angles: 90.00 90.00 90.00
With the nearest neighbours (Å) after each atom.
Space group P4/mbm (No. 127)
Inequivalent atoms, fractional coordinates:
V (0.1569, 0.3431, 0.0000) [4 per cell]  6 Ru 2.45-2.56
Cu (0.0000, 0.0000, 0.5000) [2 per cell]  4 Ru 2.71, 2 Cu 2.86, 8 V 3.02
Ru (0.1436, 0.6436, 0.5000) [4 per cell]  6 V 2.45-2.56, 2 Cu 2.71

Properties
total magnetic moment = 0.0 μB/cell
ΔE_f = 18 meV/atom

---

A plane-wave DFT calculation with GGA-PBE was carried out for a relaxed structure of Ta4Zn.

abc: 5.8778 5.8778 5.8778
angles: 90.00 90.00 90.00
With the nearest neighbours (Å) after each atom.
Space group Im-3m (No. 229)
Inequivalent atoms, fractional coordinates:
Ta (0.2500, 0.2500, 0.2500) [8 per cell]  2 Zn 2.55
Zn (0.0000, 0.0000, 0.0000) [2 per cell]  8 Ta 2.55

Properties
total magnetic moment = 0.0 μB/cell
ΔE_f = 1062 meV/atom

---

A plane-wave DFT calculation with GGA-PBE was carried out for a relaxed structure of AlRhSCl2.

abc: 4.5933 4.5933 4.8488
angles: 90.00 90.00 90.00
With the nearest neighbours (Å) after each atom.
Space group P4/mmm (No. 123)
Inequivalent atoms, fractional coordinates:
Al (0.0000, 0.0000, 0.0000) [1 per cell]  4 Cl 2.30, 2 S 2.42
Rh (0.5000, 0.5000, 0.5000) [1 per cell]  4 S 3.25, 8 Cl 3.34
S (0.0000, 0.0000, 0.5000) [1 per cell]  2 Al 2.42
Cl (0.0000, 0.5000, 0.0000) [2 per cell]  2 Al 2.30

Properties
formation energy without anion corrections = 0.3 kcal/mol of atoms
total magnetic moment = 2.1 μB/cell

---

A plane-wave DFT calculation with GGA-PBE was carried out for a relaxed structure of Pm2TePd9.

abc: 4.1653 4.1653 12.3794
angles: 90.00 90.00 90.00
With the nearest neighbours (Å) after each atom.
Space group P4/mmm (No. 123)
Inequivalent atoms, fractional coordinates:
Pm (0.0000, 0.0000, 0.1676) [2 per cell]  12 Pd 2.94-3.00
Te (0.0000, 0.0000, 0.5000) [1 per cell]  12 Pd 2.86-2.95
Pd (0.0000, 0.5000, 0.0000) [2 per cell]  4 Pm 2.94, 8 Pd 2.95-2.99
Pd (0.0000, 0.5000, 0.3417) [4 per cell]  2 Te 2.86, 8 Pd 2.86-2.95, 2 Pm 3.00
Pd (0.5000, 0.5000, 0.1735) [2 per cell]  8 Pd 2.95-2.99, 4 Pm 2.95
Pd (0.5000, 0.5000, 0.5000) [1 per cell]  8 Pd 2.86, 4 Te 2.95

Properties
formation energy without anion corrections = -13.5 kcal/mol of atoms
total magnetic moment = 0.0 μB/cell

---

A plane-wave DFT calculation with GGA-PBE was carried out for a relaxed structure of Li2ZnCo.

abc: 2.5510 3.8889 5.3712
angles: 90.00 90.00 90.00
With the nearest neighbours (Å) after each atom.
Space group Pmm2 (No. 25)
Inequivalent atoms, fractional coordinates:
Li (0.0000, 0.0000, 0.0000) [1 per cell]  1 Zn 2.47, 6 Li 2.55-2.73, 4 Co 2.70
Li (0.5000, 0.5000, 0.2678) [1 per cell]  6 Li 2.55-2.73, 2 Co 2.57-2.80, 4 Zn 2.75
Zn (0.0000, 0.0000, 0.5404) [1 per cell]  5 Li 2.47-2.75, 2 Zn 2.55, 4 Co 2.57
Co (0.5000, 0.5000, 0.7456) [1 per cell]  2 Co 2.55, 6 Li 2.57-2.80, 4 Zn 2.57

Properties
total magnetic moment = 1.1 μB/cell
ΔE_f = 38 meV/atom